Record 1
Computed, not measured: Zn2CuRu after structural relaxation at the PBE level of DFT.

Calculated values
DFT formation energy: -0.0008 eV per atom
SG: No. 47

abc: 2.6643 3.7290 5.4679
angles: 90.00 90.00 90.00
With the nearest neighbours (Å) after each atom.
Positions (direct):
Ru1 0.5000 0.5000 0.7500  2 Ru 2.66, 8 Zn 2.67, 2 Cu 2.73
Zn1 0.0000 0.0000 0.0006  4 Zn 2.66-2.74, 4 Cu 2.67, 4 Ru 2.67
Zn2 0.0000 0.0000 0.4994  4 Zn 2.66-2.74, 4 Cu 2.67, 4 Ru 2.67
Cu1 0.5000 0.5000 0.2500  2 Cu 2.66, 8 Zn 2.67, 2 Ru 2.73

Record 2
Computed, not measured: NdGe2Br8 after structural relaxation at the PBE level of DFT.

Calculated values
uncorrected formation energy: -0.926 eV/atom
SG: No. 12

abc: 7.4962 8.2542 8.2542
angles: 81.71 101.82 101.82
With the nearest neighbours (Å) after each atom.
Positions (direct):
Nd1 0.0000 0.0000 0.0000  6 Br 2.91-2.92
Br1 0.7911 0.9157 0.2728  1 Ge 2.63, 1 Nd 2.92
Br2 0.7113 0.7908 0.7908  1 Ge 2.80, 1 Nd 2.91
Br3 0.7911 0.2728 0.9157  1 Ge 2.63, 1 Nd 2.92
Br4 0.1624 0.6199 0.6199  1 Ge 2.39
Br5 0.8376 0.3801 0.3801  1 Ge 2.39
Br6 0.2887 0.2092 0.2092  1 Ge 2.80, 1 Nd 2.91
Br7 0.2089 0.7272 0.0843  1 Ge 2.63, 1 Nd 2.92
Br8 0.2089 0.0843 0.7272  1 Ge 2.63, 1 Nd 2.92
Ge1 0.6525 0.1909 0.1909  3 Br 2.39-2.63
Ge2 0.3475 0.8091 0.8091  3 Br 2.39-2.63

Record 3
Computed, not measured: AlCu2Re after structural relaxation at the PBE level of DFT.

Calculated values
DFT formation energy: 0.1923 eV per atom
SG: No. 139

abc: 4.7979 4.7979 4.7979
angles: 135.46 135.46 64.82
With the nearest neighbours (Å) after each atom.
Positions (direct):
Re1 0.2500 0.7500 0.5000  4 Al 2.57, 8 Cu 2.72
Al1 0.7500 0.2500 0.5000  4 Re 2.57, 8 Cu 2.72
Cu1 0.0000 0.0000 0.0000  4 Cu 2.57, 4 Al 2.72, 4 Re 2.72
Cu2 0.5000 0.5000 0.0000  4 Cu 2.57, 4 Re 2.72, 4 Al 2.72

Record 4
Computed, not measured: Be2AsOsSe after structural relaxation at the PBE level of DFT.

Calculated values
uncorrected formation energy: 1.335 eV/atom
SG: No. 123

abc: 4.0597 5.1249 4.0597
angles: 90.00 90.00 90.00
With the nearest neighbours (Å) after each atom.
Positions (direct):
Se1 0.0000 0.5000 0.0000  2 As 2.56
As1 0.0000 0.0000 0.0000  4 Be 2.03
Be1 0.0000 0.0000 0.5000  2 As 2.03
Be2 0.5000 0.0000 0.0000  2 As 2.03
Os1 0.5000 0.5000 0.5000  4 Se 2.87